1.
Below is a geometry-optimized BeSiPb2 structure, with properties calculated at the PBE level.

## Properties
As for the crystal system: orthorhombic. The space group is Cmm2, No. 35. The raw formation energy comes out at 1.646 eV/f.u. Its energy above the most stable polymorph in this dataset is 149 meV per atom. Its total energy is -14.92 eV/cell.

Cell lengths 3.414, 3.414, 8.188 Å; angles 90.00, 90.00, 106.22 degrees
Fractional coordinates of all 4 atoms:
Be  0.000  0.000  0.000
Si  0.500  0.500  0.902
Pb  0.000  0.000  0.626
Pb  0.500  0.500  0.258


2.
Below is a geometry-optimized BeSiPb2 structure, with properties calculated at the PBE level.

## Properties
As for the crystal system: tetragonal. The space group is I-42d, No. 122. The raw formation energy comes out at 2.566 eV/f.u. Its energy above the most stable polymorph in this dataset is 379 meV per atom. Its total energy is -28.00 eV/cell.

Cell lengths 8.036, 8.036, 8.036 Å; angles 139.62, 139.62, 58.44 degrees
Fractional coordinates of all 8 atoms:
Be  0.000  0.000  0.000
Be  0.750  0.250  0.500
Si  0.250  0.750  0.500
Si  0.500  0.500  0.000
Pb  0.086  0.625  0.961
Pb  0.375  0.336  0.461
Pb  0.664  0.125  0.039
Pb  0.875  0.914  0.539


3.
Below is a geometry-optimized BeSiPb2 structure, with properties calculated at the PBE level.

## Properties
As for the crystal system: orthorhombic. The space group is Imm2, No. 44. The raw formation energy comes out at 1.634 eV/f.u. Its energy above the most stable polymorph in this dataset is 146 meV per atom. Its total energy is -14.93 eV/cell.

Cell lengths 7.067, 7.067, 7.067 Å; angles 148.76, 147.59, 45.63 degrees
Fractional coordinates of all 4 atoms:
Be  0.000  0.000  0.000
Si  0.917  0.417  0.500
Pb  0.312  0.812  0.500
Pb  0.592  0.592  0.000


4.
Below is a geometry-optimized ZrBeSi2Pb structure, with properties calculated at the PBE level.

## Properties
As for the crystal system: tetragonal. The space group is P4/mmm, No. 123. The raw formation energy comes out at 7.118 eV/f.u. Its total energy is -19.71 eV/cell.

Cell lengths 5.511, 5.511, 4.377 Å; angles 90.00, 90.00, 90.00 degrees
Fractional coordinates of all 5 atoms:
Zr  0.000  0.000  0.000
Be  0.500  0.500  0.000
Si  0.000  0.500  0.500
Si  0.500  0.000  0.500
Pb  0.500  0.500  0.500


5.
Below is a geometry-optimized BeSnPb3 structure, with properties calculated at the PBE level.

## Properties
As for the crystal system: cubic. The energy of formation is 0.360 eV per atom. The space group is Pm-3m, No. 221. Its energy above the most stable polymorph in this dataset is 0 meV per atom. Its total energy is -17.06 eV/cell.

Cell lengths 5.174, 5.174, 5.174 Å; angles 90.00, 90.00, 90.00 degrees
Fractional coordinates of all 5 atoms:
Be  0.000  0.000  0.000
Sn  0.500  0.500  0.500
Pb  0.000  0.000  0.500
Pb  0.000  0.500  0.000
Pb  0.500  0.000  0.000


6.
Below is a geometry-optimized BeSnPb3 structure, with properties calculated at the PBE level.

## Properties
As for the crystal system: cubic. The energy of formation is 1.115 eV per atom. The space group is Pm-3m, No. 221. Its energy above the most stable polymorph in this dataset is 755 meV per atom. Its total energy is -13.28 eV/cell.

Cell lengths 5.863, 5.863, 5.863 Å; angles 90.00, 90.00, 90.00 degrees
Fractional coordinates of all 5 atoms:
Be  0.000  0.000  0.000
Sn  0.500  0.500  0.500
Pb  0.000  0.500  0.500
Pb  0.500  0.000  0.500
Pb  0.500  0.500  0.000


7.
Below is a geometry-optimized Be3SnPb structure, with properties calculated at the PBE level.

## Properties
As for the crystal system: cubic. The energy of formation is 1.094 eV per atom. The space group is Pm-3m, No. 221. Its energy above the most stable polymorph in this dataset is 0 meV per atom. Its total energy is -13.42 eV/cell.

Cell lengths 4.711, 4.711, 4.711 Å; angles 90.00, 90.00, 90.00 degrees
Fractional coordinates of all 5 atoms:
Be  0.000  0.000  0.500
Be  0.000  0.500  0.000
Be  0.500  0.000  0.000
Sn  0.000  0.000  0.000
Pb  0.500  0.500  0.500


8.
Below is a geometry-optimized Be3SnPb structure, with properties calculated at the PBE level.

## Properties
As for the crystal system: cubic. The energy of formation is 1.267 eV per atom. The space group is Pm-3m, No. 221. Its energy above the most stable polymorph in this dataset is 173 meV per atom. Its total energy is -12.56 eV/cell.

Cell lengths 4.734, 4.734, 4.734 Å; angles 90.00, 90.00, 90.00 degrees
Fractional coordinates of all 5 atoms:
Be  0.000  0.000  0.500
Be  0.000  0.500  0.000
Be  0.500  0.000  0.000
Sn  0.500  0.500  0.500
Pb  0.000  0.000  0.000